1.
This record from Alexandria describes a relaxed UBrClF crystal. The functional is PBE.

Calculated values
ΔE_f (raw)	-2.118	eV per atom
total energy	-25.153	eV/cell

Cell: 4.1827 4.1827 7.6419 Å, 105.94 105.94 59.83°
Last column: nearest neighbours and their distance in Å.
Atoms (fractional coordinates):
U (0.0000, 0.0000, 0.0000)  3 F 2.41-2.42
Br (0.4232, 0.4232, 0.2714)  3 U 3.11, 3 F 3.12-3.13
Cl (0.2533, 0.2533, 0.7592)  3 F 2.97, 3 U 2.98
F (0.6657, 0.6657, 0.9983)  3 U 2.41-2.42

---

2.
This record from Alexandria describes a relaxed HfGe3Au crystal. The functional is PBE.

Calculated values
total energy	-23.033	eV/cell
ΔE_f	0.81	eV per atom
relative energy among the computed polymorphs	140	meV/atom

Cell: 4.9462 4.9462 4.9462 Å, 90.00 90.00 90.00°
Last column: nearest neighbours and their distance in Å.
Atoms (fractional coordinates):
Hf (0.0000, 0.0000, 0.0000)  12 Ge 3.50
Ge (0.0000, 0.5000, 0.5000)  2 Au 2.47
Ge (0.5000, 0.0000, 0.5000)  2 Au 2.47
Ge (0.5000, 0.5000, 0.0000)  2 Au 2.47
Au (0.5000, 0.5000, 0.5000)  6 Ge 2.47

---

3.
This record from Alexandria describes a relaxed KRbTe2I crystal. The functional is PBE.

Calculated values
ΔE_f (raw)	-0.124	eV per atom
total energy	-10.519	eV/cell
relative energy among the computed polymorphs	107	meV/atom

Cell: 6.7647 6.7647 6.8485 Å, 90.00 90.00 90.00°
Last column: nearest neighbours and their distance in Å.
Atoms (fractional coordinates):
K (0.0000, 0.0000, 0.0000)  4 I 4.78, 8 Te 4.81
Rb (0.5000, 0.5000, 0.5000)  4 Te 3.38, 2 I 3.42
Te (0.0000, 0.5000, 0.5000)  2 Rb 3.38
Te (0.5000, 0.0000, 0.5000)  2 Rb 3.38
I (0.5000, 0.5000, 0.0000)  2 Rb 3.42

---

4.
This record from Alexandria describes a relaxed TlPd2Pb crystal. The functional is PBE.

Calculated values
total energy	-16.939	eV/cell
ΔE_f	-0.12	eV per atom
relative energy among the computed polymorphs	83	meV/atom

Cell: 4.8587 4.8587 4.8587 Å, 60.00 60.00 60.00°
Last column: nearest neighbours and their distance in Å.
Atoms (fractional coordinates):
Tl (0.0000, 0.0000, 0.0000)  8 Pd 2.98
Pd (0.2500, 0.2500, 0.2500)  4 Tl 2.98, 4 Pb 2.98
Pd (0.7500, 0.7500, 0.7500)  4 Tl 2.98, 4 Pb 2.98
Pb (0.5000, 0.5000, 0.5000)  8 Pd 2.98